[1]
Density functional theory data (PBE) for a relaxed structure of PmDyNCl.

- formation energy from raw total energies (meV per atom) = -1572.3
- space group = R3m, No. 160
- DOS at the Fermi energy (states/eV/cell) = 0.23

Unit cell a=3.6001 b=3.6002 c=7.2523 alpha=90.00 beta=104.37 gamma=120.00
Element x y z (fractional)
Pm 0.5068 0.1513 0.6734
Dy 0.0907 0.9433 0.0492
N 0.3228 0.5593 0.8974
Cl 0.9577 0.3768 0.3496

---

[2]
Density functional theory data (PBE) for a relaxed structure of In4AgPt.

- relative energy among the computed polymorphs (eV per atom) = 0.000
- space group = P4/mmm, No. 123
- DFT formation energy (eV/atom) = -0.24
- DOS at the Fermi energy (states/eV/cell) = 2.55

Unit cell a=4.6510 b=4.6515 c=6.5268 alpha=90.00 beta=90.00 gamma=90.00
Element x y z (fractional)
In 0.5013 0.9971 0.2557
In 0.5013 0.9974 0.7406
In 0.0014 0.4973 0.7406
In 0.0012 0.4973 0.2557
Ag 0.5013 0.4973 0.9981
Pt 0.0013 0.9973 0.4981